a | CsCaIN2 | PBE | optimized geometry

As for the density: 3.82 g/cm³.

The space group is P4/mmm (No. 123) and the conventional cell measures 4.630, 4.630 and 6.656 Å, with angles of 90.00, 90.00 and 90.00 degrees. The distinct sites, in fractional coordinates, are Cs at (0.000, 0.000, 0.000), Ca at (0.500, 0.500, 0.500), I at (0.000, 0.000, 0.500) and N at (0.000, 0.500, 0.000).


b | CsCaIN2 | PBE | optimized geometry

As for the density: 3.23 g/cm³.

The space group is P4/mmm (No. 123) and the conventional cell measures 5.146, 5.146 and 6.371 Å, with angles of 90.00, 90.00 and 90.00 degrees. The distinct sites, in fractional coordinates, are Cs at (0.000, 0.000, 0.000), Ca at (0.500, 0.500, 0.500), I at (0.500, 0.500, 0.000) and N at (0.000, 0.500, 0.500).


Most stable of them? b.


a | CsCaSb2I | PBE | optimized geometry

As for the density: 3.55 g/cm³.

The space group is P4/mmm (No. 123) and the conventional cell measures 6.170, 6.170 and 6.685 Å, with angles of 90.00, 90.00 and 90.00 degrees. The distinct sites, in fractional coordinates, are Cs at (0.000, 0.000, 0.000), Ca at (0.500, 0.500, 0.500), Sb at (0.000, 0.500, 0.000) and I at (0.000, 0.000, 0.500).


b | CsCaSb2I | PBE | optimized geometry

As for the density: 3.86 g/cm³.

The space group is P4/mmm (No. 123) and the conventional cell measures 6.053, 6.053 and 6.384 Å, with angles of 90.00, 90.00 and 90.00 degrees. The distinct sites, in fractional coordinates, are Cs at (0.000, 0.000, 0.000), Ca at (0.500, 0.500, 0.500), Sb at (0.000, 0.500, 0.500) and I at (0.500, 0.500, 0.000).


Most stable of them? b.